Entry 1:
## HgAs2W (PBE)

Data for an optimized crystal structure of HgAs2W.

```
data_HgAs2W
_chemical_formula_sum 'Hg2 As4 W2'
_symmetry_space_group_name_H-M 'C 1 2/m 1'
_symmetry_Int_Tables_number 12
_symmetry_space_group_name_Hall '-C 2y'
_cell_length_a 9.119
_cell_length_b 3.153
_cell_length_c 5.455
_cell_angle_alpha 90.00
_cell_angle_beta 99.88
_cell_angle_gamma 90.00
loop_
_atom_site_label
_atom_site_type_symbol
_atom_site_fract_x
_atom_site_fract_y
_atom_site_fract_z
_atom_site_occupancy
Hg1 Hg 0.000 0.000 0.000 1
As1 As 0.219 0.000 0.693 1
W1 W 0.000 0.500 0.500 1
```

Output
N(E_F)	0.4784	states/eV/atom
total DFT energy (no corrections)	-41.84	eV/cell

Entry 2:
## HgAsW2 (PBE)

Data for an optimized crystal structure of HgAsW2.

```
data_HgAsW2
_chemical_formula_sum 'Hg2 As2 W4'
_symmetry_space_group_name_H-M 'C m m m'
_symmetry_Int_Tables_number 65
_symmetry_space_group_name_Hall '-C 2 2'
_cell_length_a 3.161
_cell_length_b 4.930
_cell_length_c 8.988
_cell_angle_alpha 90.00
_cell_angle_beta 90.00
_cell_angle_gamma 90.00
loop_
_atom_site_label
_atom_site_type_symbol
_atom_site_fract_x
_atom_site_fract_y
_atom_site_fract_z
_atom_site_occupancy
Hg1 Hg 0.000 0.000 0.000 1
As1 As 0.000 0.000 0.500 1
W1 W 0.000 0.500 0.277 1
```

Output
energy relative to the lowest polymorph listed for this composition	369	meV/atom
N(E_F)	0.7685	states/eV/atom

Entry 3:
## HgAs2W (PBE)

Data for an optimized crystal structure of HgAs2W.

```
data_HgAs2W
_chemical_formula_sum 'Hg1 As2 W1'
_symmetry_space_group_name_H-M 'P 4 m m'
_symmetry_Int_Tables_number 99
_symmetry_space_group_name_Hall 'P 4 -2'
_cell_length_a 3.081
_cell_length_b 3.081
_cell_length_c 8.109
_cell_angle_alpha 90.00
_cell_angle_beta 90.00
_cell_angle_gamma 90.00
loop_
_atom_site_label
_atom_site_type_symbol
_atom_site_fract_x
_atom_site_fract_y
_atom_site_fract_z
_atom_site_occupancy
Hg1 Hg 0.000 0.000 0.000 1
As1 As 0.000 0.000 0.430 1
As2 As 0.500 0.500 0.714 1
W1 W 0.500 0.500 0.259 1
```

Output
N(E_F)	0.8744	states/eV/atom
total DFT energy (no corrections)	-20.46	eV/cell

Entry 4:
## HgAsW2 (PBE)

Data for an optimized crystal structure of HgAsW2.

```
data_HgAsW2
_chemical_formula_sum 'Hg1 As1 W2'
_symmetry_space_group_name_H-M 'P 4/m m m'
_symmetry_Int_Tables_number 123
_symmetry_space_group_name_Hall '-P 4 2'
_cell_length_a 4.627
_cell_length_b 4.627
_cell_length_c 3.128
_cell_angle_alpha 90.00
_cell_angle_beta 90.00
_cell_angle_gamma 90.00
loop_
_atom_site_label
_atom_site_type_symbol
_atom_site_fract_x
_atom_site_fract_y
_atom_site_fract_z
_atom_site_occupancy
Hg1 Hg 0.000 0.000 0.000 1
As1 As 0.500 0.500 0.000 1
W1 W 0.000 0.500 0.500 1
```

Output
energy relative to the lowest polymorph listed for this composition	454	meV/atom
N(E_F)	0.8386	states/eV/atom

Entry 5:
## HgAs2W (PBE)

Data for an optimized crystal structure of HgAs2W.

```
data_HgAs2W
_chemical_formula_sum 'Hg3 As6 W3'
_symmetry_space_group_name_H-M 'R -3 m'
_symmetry_Int_Tables_number 166
_symmetry_space_group_name_Hall '-R 3 2"'
_cell_length_a 3.1726
_cell_length_b 3.1726
_cell_length_c 30.2461
_cell_angle_alpha 90.00
_cell_angle_beta 90.00
_cell_angle_gamma 120.00
loop_
_atom_site_label
_atom_site_type_symbol
_atom_site_fract_x
_atom_site_fract_y
_atom_site_fract_z
_atom_site_occupancy
Hg1 Hg 0.0000 0.0000 0.0000 1
As1 As 0.0000 0.0000 0.2278 1
W1 W 0.0000 0.0000 0.5000 1
```

Output
N(E_F)	0.7479	states/eV/atom
total DFT energy (no corrections)	-66.78	eV/cell

Entry 6:
## Zn2HgAsW (PBE)

Data for an optimized crystal structure of Zn2HgAsW.

```
data_Zn2HgAsW
_chemical_formula_sum 'Zn2 Hg1 As1 W1'
_symmetry_space_group_name_H-M 'P 4/m m m'
_symmetry_Int_Tables_number 123
_symmetry_space_group_name_Hall '-P 4 2'
_cell_length_a 4.775
_cell_length_b 4.775
_cell_length_c 5.353
_cell_angle_alpha 90.00
_cell_angle_beta 90.00
_cell_angle_gamma 90.00
loop_
_atom_site_label
_atom_site_type_symbol
_atom_site_fract_x
_atom_site_fract_y
_atom_site_fract_z
_atom_site_occupancy
Zn1 Zn 0.000 0.500 0.000 1
Hg1 Hg 0.000 0.000 0.000 1
As1 As 0.500 0.500 0.500 1
W1 W 0.000 0.000 0.500 1
```

Output
N(E_F)	0.7257	states/eV/atom
total DFT energy (no corrections)	-13.19	eV/cell

Entry 7:
## Y2HgAs (PBE)

Data for an optimized crystal structure of Y2HgAs.

```
data_Y2HgAs
_chemical_formula_sum 'Y8 Hg4 As4'
_symmetry_space_group_name_H-M 'I -4 2 d'
_symmetry_Int_Tables_number 122
_symmetry_space_group_name_Hall 'I -4 2bw'
_cell_length_a 7.803
_cell_length_b 7.803
_cell_length_c 7.278
_cell_angle_alpha 90.00
_cell_angle_beta 90.00
_cell_angle_gamma 90.00
loop_
_atom_site_label
_atom_site_type_symbol
_atom_site_fract_x
_atom_site_fract_y
_atom_site_fract_z
_atom_site_occupancy
Y1 Y 0.230 0.750 0.125 1
Hg1 Hg 0.000 0.000 0.500 1
As1 As 0.000 0.000 0.000 1
```

Output
energy relative to the lowest polymorph listed for this composition	307	meV/atom
N(E_F)	0.6613	states/eV/atom

Entry 8:
## YHgAs2 (PBE)

Data for an optimized crystal structure of YHgAs2.

```
data_YHgAs2
_chemical_formula_sum 'Y2 Hg2 As4'
_symmetry_space_group_name_H-M 'C 1 m 1'
_symmetry_Int_Tables_number 8
_symmetry_space_group_name_Hall 'C -2y'
_cell_length_a 10.866
_cell_length_b 4.044
_cell_length_c 4.265
_cell_angle_alpha 90.00
_cell_angle_beta 102.72
_cell_angle_gamma 90.00
loop_
_atom_site_label
_atom_site_type_symbol
_atom_site_fract_x
_atom_site_fract_y
_atom_site_fract_z
_atom_site_occupancy
Y1 Y 0.000 0.000 0.000 1
Hg1 Hg 0.240 0.000 0.610 1
As1 As 0.219 0.500 0.062 1
As2 As 0.478 0.000 0.495 1
```

Output
N(E_F)	0.4529	states/eV/atom
total DFT energy (no corrections)	-36.48	eV/cell

Entry 9:
## YHgAs2 (PBE)

Data for an optimized crystal structure of YHgAs2.

```
data_YHgAs2
_chemical_formula_sum 'Y1 Hg1 As2'
_symmetry_space_group_name_H-M 'P 4/m m m'
_symmetry_Int_Tables_number 123
_symmetry_space_group_name_Hall '-P 4 2'
_cell_length_a 4.717
_cell_length_b 4.717
_cell_length_c 3.896
_cell_angle_alpha 90.00
_cell_angle_beta 90.00
_cell_angle_gamma 90.00
loop_
_atom_site_label
_atom_site_type_symbol
_atom_site_fract_x
_atom_site_fract_y
_atom_site_fract_z
_atom_site_occupancy
Y1 Y 0.000 0.000 0.000 1
Hg1 Hg 0.500 0.500 0.000 1
As1 As 0.000 0.500 0.500 1
```

Output
N(E_F)	0.4369	states/eV/atom
total DFT energy (no corrections)	-18.17	eV/cell

Entry 10:
## YHgAs4 (PBE)

Data for an optimized crystal structure of YHgAs4.

```
data_YHgAs4
_chemical_formula_sum 'Y4 Hg4 As16'
_symmetry_space_group_name_H-M 'F -4 3 m'
_symmetry_Int_Tables_number 216
_symmetry_space_group_name_Hall 'F -4 2 3'
_cell_length_a 8.059
_cell_length_b 8.059
_cell_length_c 8.059
_cell_angle_alpha 90.00
_cell_angle_beta 90.00
_cell_angle_gamma 90.00
loop_
_atom_site_label
_atom_site_type_symbol
_atom_site_fract_x
_atom_site_fract_y
_atom_site_fract_z
_atom_site_occupancy
Y1 Y 0.000 0.000 0.000 1
Hg1 Hg 0.250 0.250 0.250 1
As1 As 0.123 0.123 0.623 1
```

Output
N(E_F)	0.7402	states/eV/atom
total DFT energy (no corrections)	-104.53	eV/cell

Entry 11:
## YHgAs2 (PBE)

Data for an optimized crystal structure of YHgAs2.

```
data_YHgAs2
_chemical_formula_sum 'Y1 Hg1 As2'
_symmetry_space_group_name_H-M 'P 1 2/m 1'
_symmetry_Int_Tables_number 10
_symmetry_space_group_name_Hall '-P 2y'
_cell_length_a 3.803
_cell_length_b 4.018
_cell_length_c 6.617
_cell_angle_alpha 90.00
_cell_angle_beta 90.24
_cell_angle_gamma 90.00
loop_
_atom_site_label
_atom_site_type_symbol
_atom_site_fract_x
_atom_site_fract_y
_atom_site_fract_z
_atom_site_occupancy
Y1 Y 0.000 0.000 0.000 1
Hg1 Hg 0.000 0.000 0.500 1
As1 As 0.500 0.500 0.186 1
```

Output
N(E_F)	0.2893	states/eV/atom
total DFT energy (no corrections)	-18.45	eV/cell

Entry 12:
## YHgAs2 (PBE)

Data for an optimized crystal structure of YHgAs2.

```
data_YHgAs2
_chemical_formula_sum 'Y4 Hg4 As8'
_symmetry_space_group_name_H-M 'I -4 2 d'
_symmetry_Int_Tables_number 122
_symmetry_space_group_name_Hall 'I -4 2bw'
_cell_length_a 7.557
_cell_length_b 7.557
_cell_length_c 6.698
_cell_angle_alpha 90.00
_cell_angle_beta 90.00
_cell_angle_gamma 90.00
loop_
_atom_site_label
_atom_site_type_symbol
_atom_site_fract_x
_atom_site_fract_y
_atom_site_fract_z
_atom_site_occupancy
Y1 Y 0.000 0.000 0.000 1
Hg1 Hg 0.000 0.000 0.500 1
As1 As 0.229 0.250 0.625 1
```

Output
N(E_F)	0.4742	states/eV/atom
total DFT energy (no corrections)	-70.10	eV/cell